Record 1
! Mg3Ga (PBE, relaxed); values from VASP
&SYSTEM
  ibrav = 0, nat = 8, ntyp = 2
/
ATOMIC_SPECIES
Mg 24.30 Mg.upf
Ga 69.72 Ga.upf
CELL_PARAMETERS angstrom
6.1830 0.0000 0.0000
-3.0915 5.3546 0.0000
0.0000 0.0000 4.9559
ATOMIC_POSITIONS crystal
Mg 0.1691 0.3383 0.2500
Mg 0.1691 0.8309 0.2500
Mg 0.3383 0.1691 0.7500
Mg 0.6617 0.8309 0.2500
Mg 0.8309 0.1691 0.7500
Mg 0.8309 0.6617 0.7500
Ga 0.3333 0.6667 0.7500
Ga 0.6667 0.3333 0.2500
! **Theoretical density**: 2.89 Mg/m³
! **Total magnetization**: 0.00 μB per cell
! **Symmetry**: P6_3/mmc (194)
! **Energy relative to the elements**: -0.0896 eV/atom


Record 2
! MgGa6 (PBE, relaxed); values from VASP
&SYSTEM
  ibrav = 0, nat = 7, ntyp = 2
/
ATOMIC_SPECIES
Mg 24.30 Mg.upf
Ga 69.72 Ga.upf
CELL_PARAMETERS angstrom
4.2520 0.0000 0.0000
0.0000 4.2520 0.0000
0.0000 0.0000 7.6252
ATOMIC_POSITIONS crystal
Mg 0.0000 0.0000 0.0000
Ga 0.0000 0.0000 0.5000
Ga 0.0000 0.5000 0.2749
Ga 0.0000 0.5000 0.7251
Ga 0.5000 0.0000 0.2749
Ga 0.5000 0.0000 0.7251
Ga 0.5000 0.5000 0.0000
! **Excess energy over the best structure of this formula in the dataset**: 16 meV/atom
! **Theoretical density**: 5.33 Mg/m³
! **Total magnetization**: 0.00 μB per cell
! **Symmetry**: P4/mmm (123)
! **Energy relative to the elements**: -0.0185 eV/atom


Record 3
! MgGa5 (PBE, relaxed); values from VASP
&SYSTEM
  ibrav = 0, nat = 6, ntyp = 2
/
ATOMIC_SPECIES
Mg 24.30 Mg.upf
Ga 69.72 Ga.upf
CELL_PARAMETERS angstrom
2.6333 1.5203 4.7546
-2.6333 1.5203 4.7546
0.0000 -3.0407 4.7546
ATOMIC_POSITIONS crystal
Mg 0.0000 0.0000 0.0000
Ga 0.1647 0.8353 0.5000
Ga 0.3379 0.3379 0.3379
Ga 0.5000 0.1647 0.8353
Ga 0.6621 0.6621 0.6621
Ga 0.8353 0.5000 0.1647
! **Theoretical density**: 5.42 Mg/m³
! **Total magnetization**: 0.00 μB per cell
! **Symmetry**: R32 (155)
! **Energy relative to the elements**: -0.0334 eV/atom


Record 4
! Mg2Ga3 (PBE, relaxed); values from VASP
&SYSTEM
  ibrav = 0, nat = 10, ntyp = 2
/
ATOMIC_SPECIES
Mg 24.30 Mg.upf
Ga 69.72 Ga.upf
CELL_PARAMETERS angstrom
2.9042 -4.5027 0.0000
2.9042 4.5027 0.0000
0.0000 0.0000 7.7455
ATOMIC_POSITIONS crystal
Mg 0.1497 0.8503 0.9054
Mg 0.3503 0.6497 0.4054
Mg 0.6497 0.3503 0.5946
Mg 0.8503 0.1497 0.0946
Ga 0.0000 0.0000 0.5000
Ga 0.1378 0.3622 0.7500
Ga 0.3622 0.1378 0.2500
Ga 0.5000 0.5000 0.0000
Ga 0.6378 0.8622 0.7500
Ga 0.8622 0.6378 0.2500
! **Excess energy over the best structure of this formula in the dataset**: 26 meV/atom
! **Theoretical density**: 4.23 Mg/m³
! **Total magnetization**: 0.00 μB per cell
! **Symmetry**: Cmce (64)
! **Energy relative to the elements**: -0.0644 eV/atom


Please write out number 2 again, unchanged.
! MgGa6 (PBE, relaxed); values from VASP
&SYSTEM
  ibrav = 0, nat = 7, ntyp = 2
/
ATOMIC_SPECIES
Mg 24.30 Mg.upf
Ga 69.72 Ga.upf
CELL_PARAMETERS angstrom
4.2520 0.0000 0.0000
0.0000 4.2520 0.0000
0.0000 0.0000 7.6252
ATOMIC_POSITIONS crystal
Mg 0.0000 0.0000 0.0000
Ga 0.0000 0.0000 0.5000
Ga 0.0000 0.5000 0.2749
Ga 0.0000 0.5000 0.7251
Ga 0.5000 0.0000 0.2749
Ga 0.5000 0.0000 0.7251
Ga 0.5000 0.5000 0.0000
! **Excess energy over the best structure of this formula in the dataset**: 16 meV/atom
! **Theoretical density**: 5.33 Mg/m³
! **Total magnetization**: 0.00 μB per cell
! **Symmetry**: P4/mmm (123)
! **Energy relative to the elements**: -0.0185 eV/atom